Record 1
Here is crystalline Ca3YAl at its relaxed geometry from Alexandria. Energies are from PBE.

Polymorph energy (0 for the lowest one) in eV/atom: 0.743
E in hartree per atom: -0.081
SG: No. 221
Energy of formation in kcal/mol of atoms: 24.24

Cell lengths 5.959, 5.959, 5.959 Å; angles 90.00, 90.00, 90.00 degrees
Each line ends with the local moment (μB).
Sites, in units of the cell vectors:
Y 0.000 0.000 0.000  0.69
Ca 0.000 0.500 0.000  0.12
Ca 0.000 0.000 0.500  0.16
Ca 0.500 0.000 0.000  0.07
Al 0.500 0.500 0.500  -0.04

=====

Record 2
Here is crystalline CaY2Al at its relaxed geometry from Alexandria. Energies are from PBE.

E in hartree per atom: -0.176
SG: No. 99
Energy of formation in kcal/mol of atoms: -2.93

Cell lengths 3.554, 3.554, 9.422 Å; angles 90.00, 90.00, 90.00 degrees
Sites, in units of the cell vectors:
Y 0.000 0.000 0.017
Y 0.500 0.500 0.290
Ca 0.500 0.500 0.705
Al 0.000 0.000 0.488